No. 1
Below is a relaxed structure of TaCr2Fe, with properties calculated at the PBE level.

ρ: 10.7 g/cm3
Space-group type: Fm-3m (225)
Electronic total energy: -9.7385 eV per atom
Energy of formation: 59 kJ/mol of formula units

Lattice parameters (Å, degrees): 4.2139 4.2139 4.2139 60.00 60.00 60.00
Element x y z (fractional)
Ta: 0.0000 0.0000 0.0000
Cr: 0.2500 0.2500 0.2500
Cr: 0.7500 0.7500 0.7500
Fe: 0.5000 0.5000 0.5000

=====

No. 2
Below is a relaxed structure of TaCr2Fe, with properties calculated at the PBE level.

ρ: 10.8 g/cm3
Space-group type: P4/mmm (123)
Electronic total energy: -9.6465 eV per atom
Energy of formation: 94 kJ/mol of formula units

Lattice parameters (Å, degrees): 2.6277 2.6277 7.6071 90.00 90.00 90.00
Element x y z (fractional)
Ta: 0.0000 0.0000 0.0000
Cr: 0.5000 0.5000 0.2902
Cr: 0.5000 0.5000 0.7098
Fe: 0.0000 0.0000 0.5000

=====

No. 3
Below is a relaxed structure of TaCr2Fe, with properties calculated at the PBE level.

ρ: 10.7 g/cm3
Space-group type: Pmmm (47)
Electronic total energy: -9.8388 eV per atom
Energy of formation: 20 kJ/mol of formula units

Lattice parameters (Å, degrees): 3.0245 4.0715 4.2784 90.00 90.00 90.00
Element x y z (fractional)
Ta: 0.0000 0.0000 0.0000
Cr: 0.0000 0.5000 0.5000
Cr: 0.5000 0.0000 0.5000
Fe: 0.5000 0.5000 0.0000

=====

No. 4
Below is a relaxed structure of TaCr2Fe, with properties calculated at the PBE level.

ρ: 10.2 g/cm3
Space-group type: I-42d (122)
Electronic total energy: -9.2830 eV per atom
Energy of formation: 234 kJ/mol of formula units

Lattice parameters (Å, degrees): 5.3432 5.3432 5.3432 102.17 102.17 125.34
Element x y z (fractional)
Ta: 0.0000 0.0000 0.0000
Ta: 0.7500 0.2500 0.5000
Cr: 0.1626 0.1250 0.5376
Cr: 0.3750 0.8374 0.9624
Cr: 0.5874 0.6250 0.4624
Cr: 0.8750 0.4126 0.0376
Fe: 0.2500 0.7500 0.5000
Fe: 0.5000 0.5000 0.0000

=====

No. 5
Below is a relaxed structure of TaCr2Fe, with properties calculated at the PBE level.

ρ: 10.9 g/cm3
Space-group type: F-43m (216)
Electronic total energy: -9.8227 eV per atom
Energy of formation: 26 kJ/mol of formula units

Lattice parameters (Å, degrees): 4.1931 4.1931 4.1931 60.00 60.00 60.00
Element x y z (fractional)
Ta: 0.0000 0.0000 0.0000
Cr: 0.5000 0.5000 0.5000
Cr: 0.7500 0.7500 0.7500
Fe: 0.2500 0.2500 0.2500

=====

No. 6
Below is a relaxed structure of TaCr4Fe, with properties calculated at the PBE level.

ρ: 9.4 g/cm3
Space-group type: F-43m (216)
Electronic total energy: -9.6955 eV per atom
Energy of formation: 61 kJ/mol of formula units

Lattice parameters (Å, degrees): 4.8011 4.8011 4.8011 60.00 60.00 60.00
Element x y z (fractional)
Ta: 0.0000 0.0000 0.0000
Cr: 0.3757 0.3757 0.3757
Cr: 0.3757 0.3757 0.8730
Cr: 0.3757 0.8730 0.3757
Cr: 0.8730 0.3757 0.3757
Fe: 0.7500 0.7500 0.7500

=====

No. 7
Below is a relaxed structure of TaCr2Fe, with properties calculated at the PBE level.

ρ: 10.7 g/cm3
Space-group type: Imm2 (44)
Electronic total energy: -9.8015 eV per atom
Energy of formation: 34 kJ/mol of formula units

Lattice parameters (Å, degrees): 4.8579 4.8579 4.8579 143.79 127.96 65.04
Element x y z (fractional)
Ta: 0.0000 0.0000 0.0000
Cr: 0.5071 0.5071 0.0000
Cr: 0.7384 0.2384 0.5000
Fe: 0.2599 0.7599 0.5000

=====

No. 8
Below is a relaxed structure of Ta2CrFe, with properties calculated at the PBE level.

ρ: 13.2 g/cm3
Space-group type: Pm (6)
Electronic total energy: -10.3390 eV per atom
Energy of formation: 42 kJ/mol of formula units

Lattice parameters (Å, degrees): 2.7733 4.3649 4.9835 90.00 101.08 90.00
Element x y z (fractional)
Ta: 0.0000 0.0000 0.0000
Ta: 0.2725 0.5000 0.7086
Cr: 0.7545 0.5000 0.2157
Fe: 0.5216 0.0000 0.4858

=====

No. 9
Below is a relaxed structure of TaCrFe, with properties calculated at the PBE level.

ρ: 11.6 g/cm3
Space-group type: Fmm2 (42)
Electronic total energy: -9.8394 eV per atom
Energy of formation: 41 kJ/mol of formula units

Lattice parameters (Å, degrees): 6.5345 6.3677 2.6551 81.67 74.62 23.71
Element x y z (fractional)
Ta: 0.0000 0.0000 0.0000
Cr: 0.6765 0.6765 0.3235
Fe: 0.3254 0.3254 0.6746

=====

No. 10
Below is a relaxed structure of TbCrFe, with properties calculated at the PBE level.

ρ: 9.1 g/cm3
Space-group type: R-3m (166)
Electronic total energy: -7.4064 eV per atom
Energy of formation: 48 kJ/mol of formula units

Lattice parameters (Å, degrees): 13.3634 13.3634 13.3634 21.99 21.99 21.99
Element x y z (fractional)
Tb: 0.0401 0.0401 0.0401
Tb: 0.1808 0.1808 0.1808
Tb: 0.2654 0.2654 0.2654
Tb: 0.7346 0.7346 0.7346
Tb: 0.8192 0.8192 0.8192
Tb: 0.9599 0.9599 0.9599
Cr: 0.2157 0.7264 0.7264
Cr: 0.2736 0.2736 0.7843
Cr: 0.2736 0.7843 0.2736
Cr: 0.7264 0.2157 0.7264
Cr: 0.7264 0.7264 0.2157
Cr: 0.7843 0.2736 0.2736
Fe: 0.0000 0.5000 0.5000
Fe: 0.3878 0.3878 0.3878
Fe: 0.5000 0.0000 0.5000
Fe: 0.5000 0.5000 0.0000
Fe: 0.5000 0.5000 0.5000
Fe: 0.6122 0.6122 0.6122

=====

No. 11
Below is a relaxed structure of Tb2Cr2Fe15, with properties calculated at the PBE level.

ρ: 8.4 g/cm3
Space-group type: R-3m (166)
Electronic total energy: -8.1708 eV per atom
Energy of formation: 19 kJ/mol of formula units

Lattice parameters (Å, degrees): 6.3477 6.3477 6.3477 82.01 82.01 82.01
Element x y z (fractional)
Tb: 0.1576 0.1576 0.1576
Tb: 0.8424 0.8424 0.8424
Cr: 0.4138 0.4138 0.4138
Cr: 0.5862 0.5862 0.5862
Fe: 0.0000 0.5000 0.5000
Fe: 0.1612 0.1612 0.6569
Fe: 0.1612 0.6569 0.1612
Fe: 0.1971 0.5000 0.8029
Fe: 0.1971 0.8029 0.5000
Fe: 0.3431 0.8388 0.8388
Fe: 0.5000 0.0000 0.5000
Fe: 0.5000 0.1971 0.8029
Fe: 0.5000 0.5000 0.0000
Fe: 0.5000 0.8029 0.1971
Fe: 0.6569 0.1612 0.1612
Fe: 0.8029 0.1971 0.5000
Fe: 0.8029 0.5000 0.1971
Fe: 0.8388 0.3431 0.8388
Fe: 0.8388 0.8388 0.3431

=====

No. 12
Below is a relaxed structure of CrFeTc, with properties calculated at the PBE level.

ρ: 8.9 g/cm3
Space-group type: Fmm2 (42)
Electronic total energy: -9.3351 eV per atom
Energy of formation: 43 kJ/mol of formula units

Lattice parameters (Å, degrees): 6.4814 6.3153 2.5665 82.09 74.82 23.09
Element x y z (fractional)
Cr: 0.0000 0.0000 0.0000
Fe: 0.6575 0.6575 0.3425
Tc: 0.3317 0.3317 0.6683

=====

No. 13
Below is a relaxed structure of CrFeTc2, with properties calculated at the PBE level.

ρ: 8.9 g/cm3
Space-group type: I-42d (122)
Electronic total energy: -8.9180 eV per atom
Energy of formation: 304 kJ/mol of formula units

Lattice parameters (Å, degrees): 8.8015 8.8015 8.8015 155.95 155.95 34.27
Element x y z (fractional)
Cr: 0.0000 0.0000 0.0000
Cr: 0.7500 0.2500 0.5000
Fe: 0.2500 0.7500 0.5000
Fe: 0.5000 0.5000 0.0000
Tc: 0.1275 0.6250 0.0025
Tc: 0.3750 0.3775 0.5025
Tc: 0.6225 0.1250 0.9975
Tc: 0.8750 0.8725 0.4975

=====

No. 14
Below is a relaxed structure of CrFeTc, with properties calculated at the PBE level.

ρ: 9.2 g/cm3
Space-group type: Cmcm (63)
Electronic total energy: -9.3763 eV per atom
Energy of formation: 31 kJ/mol of formula units

Lattice parameters (Å, degrees): 5.9343 5.9343 3.6405 90.00 90.00 144.76
Element x y z (fractional)
Cr: 0.0942 0.9058 0.7500
Cr: 0.9058 0.0942 0.2500
Fe: 0.2504 0.7496 0.2500
Fe: 0.7496 0.2504 0.7500
Tc: 0.4083 0.5917 0.7500
Tc: 0.5917 0.4083 0.2500

=====

No. 15
Below is a relaxed structure of CrFeTc2, with properties calculated at the PBE level.

ρ: 9.6 g/cm3
Space-group type: I-4m2 (119)
Electronic total energy: -9.5903 eV per atom
Energy of formation: 44 kJ/mol of formula units

Lattice parameters (Å, degrees): 4.5720 4.5720 4.5720 131.47 131.47 71.06
Element x y z (fractional)
Cr: 0.0000 0.0000 0.0000
Fe: 0.2500 0.7500 0.5000
Tc: 0.5000 0.5000 0.0000
Tc: 0.7500 0.2500 0.5000

=====

No. 16
Below is a relaxed structure of CrFeTc, with properties calculated at the PBE level.

ρ: 7.8 g/cm3
Space-group type: F-43m (216)
Electronic total energy: -8.8599 eV per atom
Energy of formation: 181 kJ/mol of formula units

Lattice parameters (Å, degrees): 3.9491 3.9491 3.9491 60.00 60.00 60.00
Element x y z (fractional)
Cr: 0.0000 0.0000 0.0000
Fe: 0.7500 0.7500 0.7500
Tc: 0.2500 0.2500 0.2500

=====

No. 17
Below is a relaxed structure of Cr4FeTc, with properties calculated at the PBE level.

ρ: 8.2 g/cm3
Space-group type: F-43m (216)
Electronic total energy: -9.4191 eV per atom
Energy of formation: 78 kJ/mol of formula units

Lattice parameters (Å, degrees): 4.7052 4.7052 4.7052 60.00 60.00 60.00
Element x y z (fractional)
Cr: 0.3758 0.3758 0.3758
Cr: 0.3758 0.3758 0.8725
Cr: 0.3758 0.8725 0.3758
Cr: 0.8725 0.3758 0.3758
Fe: 0.7500 0.7500 0.7500
Tc: 0.0000 0.0000 0.0000

=====

No. 18
Below is a relaxed structure of CrFeTc, with properties calculated at the PBE level.

ρ: 9.0 g/cm3
Space-group type: Cm (8)
Electronic total energy: -9.3442 eV per atom
Energy of formation: 40 kJ/mol of formula units

Lattice parameters (Å, degrees): 4.4175 4.4175 5.1278 102.21 102.21 51.11
Element x y z (fractional)
Cr: 0.0000 0.0000 0.0000
Cr: 0.6532 0.6532 0.8476
Fe: 0.3230 0.3230 0.1632
Fe: 0.6460 0.6460 0.3218
Tc: 0.3014 0.3014 0.6610
Tc: 0.9688 0.9688 0.4729

=====

No. 19
Below is a relaxed structure of CrFeTc2, with properties calculated at the PBE level.

ρ: 9.5 g/cm3
Space-group type: C2/m (12)
Electronic total energy: -9.5458 eV per atom
Energy of formation: 61 kJ/mol of formula units

Lattice parameters (Å, degrees): 4.9362 4.9362 2.5739 100.12 100.12 115.84
Element x y z (fractional)
Cr: 0.0000 0.0000 0.0000
Fe: 0.5000 0.5000 0.0000
Tc: 0.0000 0.5000 0.5000
Tc: 0.5000 0.0000 0.5000

=====

No. 20
Below is a relaxed structure of CrFeTc, with properties calculated at the PBE level.

ρ: 8.9 g/cm3
Space-group type: P3m1 (156)
Electronic total energy: -9.3940 eV per atom
Energy of formation: 26 kJ/mol of formula units

Lattice parameters (Å, degrees): 4.1811 4.1811 2.5268 90.00 90.00 120.00
Element x y z (fractional)
Cr: 0.0000 0.0000 0.0000
Fe: 0.6667 0.3333 0.3284
Tc: 0.3333 0.6667 0.6981